A relaxed structure of KBaCa2, computed with PBE.

Cell lengths 9.4346, 9.4346, 9.4346 Å; angles 90.00, 90.00, 90.00 degrees
Closest atoms and distances in Å follow each position.
Space group F-43m (No. 216)
One atom of each set of equivalent atoms:
K 0.0000 0.0000 0.0000  4 Ba 4.09, 4 Ca 4.09
Ba 0.2500 0.2500 0.2500  4 Ca 4.09, 4 K 4.09
Ca 0.0000 0.0000 0.5000  4 Ba 4.09, 4 Ca 4.09
Ca 0.2500 0.2500 0.7500  4 K 4.09, 4 Ca 4.09

For the formation energy, the calculation gives 0.140 eV per atom. The calculation puts the density of states at the Fermi level at 18.085 states/eV per cell. The spin magnetization is 0.000 μB/atom. Its crystal system is cubic.

A relaxed structure of CaScAlCd, computed with PBE.

Cell lengths 7.2243, 7.2243, 7.2243 Å; angles 90.00, 90.00, 90.00 degrees
Closest atoms and distances in Å follow each position.
Space group F-43m (No. 216)
One atom of each set of equivalent atoms:
Ca 0.0000 0.0000 0.0000  4 Cd 3.13, 4 Al 3.13
Sc 0.0000 0.0000 0.5000  4 Cd 3.13, 4 Al 3.13
Al 0.2500 0.2500 0.7500  4 Ca 3.13, 4 Sc 3.13
Cd 0.2500 0.2500 0.2500  4 Ca 3.13, 4 Sc 3.13

For the formation energy, the calculation gives -0.265 eV per atom. The calculation puts the density of states at the Fermi level at 8.444 states/eV per cell. The spin magnetization is 0.000 μB/atom. Its crystal system is cubic.

A relaxed structure of GeAs2OsBr, computed with PBE.

Cell lengths 4.7212, 4.7212, 5.4449 Å; angles 90.00, 90.00, 90.00 degrees
Closest atoms and distances in Å follow each position.
Space group P4/mmm (No. 123)
One atom of each set of equivalent atoms:
Ge 0.0000 0.0000 0.0000  4 Br 3.34, 8 As 3.60
As 0.0000 0.5000 0.5000  2 Os 2.36
Os 0.5000 0.5000 0.5000  4 As 2.36
Br 0.5000 0.5000 0.0000  2 Os 2.72

The formation energy (no corrections) is 3.46 eV/f.u. The calculation puts the density of states at the Fermi level at 4.597 states/eV per cell. The spin magnetization is 0.000 μB/atom. Its crystal system is tetragonal.